VASP calculation (PBE-GGA) on a relaxed La5Tb2Dy2 crystal.

Values from the calculation:
Mass density, g/cm3: 7.121
Formation energy, eV/atom: 0.1587
Energy above the lowest structure with this stoichiometry, meV/atom: 132.8

Cell: 15.220 13.005 6.302 Å, 90.00 90.00 90.00°
Space group Ima2 (No. 46)
Unique sites:
1 La 0.050 0.200 0.000 (multiplicity 8)
2 La 0.144 0.683 0.845 (multiplicity 8)
3 La 0.250 0.170 0.755 (multiplicity 4)
4 Tb 0.135 0.551 0.348 (multiplicity 8)
5 Dy 0.000 0.000 0.410 (multiplicity 4)
6 Dy 0.250 0.059 0.278 (multiplicity 4)


VASP calculation (PBE-GGA) on a relaxed Al2TlAgCl8 crystal.

Values from the calculation:
Mass density, g/cm3: 3.094
Formation energy (no corrections), eV/atom: -1.30

Cell: 6.5010 6.5010 9.5277 Å, 90.00 90.00 120.00°
Space group P-3 (No. 147)
Unique sites:
1 Al 0.3333 0.6667 0.2533 (multiplicity 2)
2 Tl 0.0000 0.0000 0.5000 (multiplicity 1)
3 Ag 0.0000 0.0000 0.0000 (multiplicity 1)
4 Cl 0.0217 0.3446 0.1841 (multiplicity 6)
5 Cl 0.3333 0.6667 0.4796 (multiplicity 2)


Per-record total energy, eV for the cell shown: -166.7; -43.1